(1)
Y3Si2Ir2: optimized geometry, PBE-GGA.

Lattice parameters (Å, degrees): 5.6815 7.7829 13.0881 90.00 90.00 90.00
With the nearest neighbours (Å) after each atom.
Space group Pbcm (No. 57)
Asymmetric unit:
Y1 0.1202 0.2467 0.2500  5 Si 2.95-3.28, 4 Ir 3.01-3.12
Y2 0.3657 0.6102 0.6048  4 Ir 2.91-3.12, 3 Si 2.95-3.13
Si1 0.0899 0.2500 0.0000  4 Ir 2.45-2.51
Si2 0.3582 0.5988 0.2500  2 Ir 2.49
Ir1 0.1478 0.5234 0.0893  3 Si 2.45-2.51

---

(2)
Y2Si4Ir5: optimized geometry, PBE-GGA.

Lattice parameters (Å, degrees): 5.5983 9.5552 14.1661 90.00 90.00 90.00
With the nearest neighbours (Å) after each atom.
Space group Fmmm (No. 69)
Asymmetric unit:
Y1 0.0000 0.0000 0.1257  6 Si 3.17-3.30, 10 Ir 3.28-3.32
Si1 0.0000 0.1546 0.3683  5 Ir 2.37-2.50
Ir1 0.0000 0.0000 0.5000  4 Si 2.38
Ir2 0.2500 0.2500 0.0000  4 Si 2.50, 4 Ir 2.77-2.80
Ir3 0.2500 0.2500 0.2500  4 Si 2.37

---

(3)
Y3Si2Ir: optimized geometry, PBE-GGA.

Lattice parameters (Å, degrees): 11.5159 4.1890 11.3157 90.00 90.00 90.00
With the nearest neighbours (Å) after each atom.
Space group Pnma (No. 62)
Asymmetric unit:
Y1 0.0584 0.2500 0.1226  1 Ir 2.86, 4 Si 2.99-3.03
Y2 0.1194 0.7500 0.5583  3 Ir 2.99-3.03, 5 Si 3.01-3.08
Y3 0.2123 0.2500 0.8028  2 Ir 2.86, 4 Si 2.99-3.06
Si1 0.0217 0.7500 0.3121  2 Ir 2.51
Si2 0.1947 0.7500 0.9954  1 Ir 2.51
Ir1 0.1293 0.2500 0.3646  3 Si 2.51

---

(4)
YSi3Ir: optimized geometry, PBE-GGA.

Lattice parameters (Å, degrees): 4.1940 4.1940 9.8194 90.00 90.00 90.00
With the nearest neighbours (Å) after each atom.
Space group I4mm (No. 107)
Asymmetric unit:
Y1 0.0000 0.0000 0.0000  12 Si 3.08-3.35, 5 Ir 3.33-3.40
Si1 0.0000 0.0000 0.4162  1 Ir 2.33, 4 Si 2.56
Si2 0.0000 0.5000 0.2667  2 Ir 2.37, 2 Si 2.56
Ir1 0.0000 0.0000 0.6538  5 Si 2.33-2.37

---

(5)
Y2SiIr: optimized geometry, PBE-GGA.

Lattice parameters (Å, degrees): 4.2006 3.9696 5.7025 90.00 111.59 90.00
With the nearest neighbours (Å) after each atom.
Space group Pm (No. 6)
Asymmetric unit:
Y1 0.0000 0.0000 0.0000  3 Ir 3.00-3.12, 4 Si 3.00
Y2 0.2840 0.5000 0.5672  4 Ir 2.97-2.98, 3 Si 3.04-3.10
Si1 0.5761 0.5000 0.1525  2 Ir 2.49
Ir1 0.7186 0.0000 0.4350  2 Si 2.49

---

(6)
Y2SiIr: optimized geometry, PBE-GGA.

Lattice parameters (Å, degrees): 3.5391 3.5391 6.7479 90.00 90.00 90.00
With the nearest neighbours (Å) after each atom.
Space group P4/mmm (No. 123)
Asymmetric unit:
Y1 0.0000 0.0000 0.2428  4 Ir 2.99, 4 Si 3.05, 1 Y 3.28
Si1 0.5000 0.5000 0.5000  8 Y 3.05, 2 Ir 3.37
Ir1 0.5000 0.5000 0.0000  8 Y 2.99

---

no.,E_form (uncorrected) (eV per formula unit)
1,-6.80
2,-9.85
3,-5.11
4,-3.90
5,-3.46
6,-2.56